The following is a DFT calculation (PBE) of a relaxed structure of NbZn4Tc.

Calculated values
Formation enthalpy at 0 K   -0.098 eV per atom
V   85.9 Å³/cell

Geometry as POSCAR:
```
NbZn4Tc
1.0
4.9529 0.0000 0.0000
2.4764 4.2893 0.0000
2.4764 1.4298 4.0440
Zn Nb Tc
4 1 1
Direct
0.6252 0.1245 0.6252
0.6252 0.6252 0.1245
0.6252 0.6252 0.6252
0.1245 0.6252 0.6252
0.2500 0.2500 0.2500
0.0000 0.0000 0.0000
```